This record from Alexandria via LeMat-Bulk describes a relaxed K3V5I12 crystal. The functional is PBE.

Values from the calculation:
space-group type = Ia-3d, No. 230
size of the total moment = 16.00 μB per formula unit
formation energy (no corrections) = -0.5416 eV/atom
uncorrected energy = -3.916 eV/atom

abc: 15.914 15.914 15.914
angles: 109.47 109.47 109.47
Positions (direct):
K 0.125 0.250 0.375
K 0.125 0.375 0.750
K 0.250 0.375 0.125
K 0.250 0.875 0.625
K 0.375 0.125 0.250
K 0.375 0.750 0.125
K 0.625 0.250 0.875
K 0.625 0.875 0.750
K 0.750 0.125 0.375
K 0.750 0.625 0.875
K 0.875 0.625 0.250
K 0.875 0.750 0.625
V 0.000 0.000 0.000
V 0.000 0.000 0.500
V 0.000 0.500 0.000
V 0.000 0.500 0.500
V 0.125 0.750 0.875
V 0.125 0.875 0.250
V 0.250 0.125 0.875
V 0.250 0.625 0.375
V 0.375 0.250 0.625
V 0.375 0.625 0.750
V 0.500 0.000 0.000
V 0.500 0.000 0.500
V 0.500 0.500 0.000
V 0.500 0.500 0.500
V 0.625 0.375 0.250
V 0.625 0.750 0.375
V 0.750 0.375 0.625
V 0.750 0.875 0.125
V 0.875 0.125 0.750
V 0.875 0.250 0.125
I 0.018 0.196 0.110
I 0.018 0.322 0.908
I 0.086 0.696 0.678
I 0.086 0.890 0.408
I 0.092 0.610 0.414
I 0.092 0.982 0.678
I 0.110 0.018 0.196
I 0.110 0.592 0.914
I 0.178 0.196 0.586
I 0.178 0.482 0.592
I 0.196 0.110 0.018
I 0.196 0.586 0.178
I 0.304 0.322 0.914
I 0.304 0.482 0.390
I 0.322 0.908 0.018
I 0.322 0.914 0.304
I 0.390 0.304 0.482
I 0.390 0.586 0.908
I 0.408 0.086 0.890
I 0.408 0.822 0.518
I 0.414 0.092 0.610
I 0.414 0.822 0.804
I 0.482 0.390 0.304
I 0.482 0.592 0.178
I 0.518 0.408 0.822
I 0.518 0.610 0.696
I 0.586 0.178 0.196
I 0.586 0.908 0.390
I 0.592 0.178 0.482
I 0.592 0.914 0.110
I 0.610 0.414 0.092
I 0.610 0.696 0.518
I 0.678 0.086 0.696
I 0.678 0.092 0.982
I 0.696 0.518 0.610
I 0.696 0.678 0.086
I 0.804 0.414 0.822
I 0.804 0.890 0.982
I 0.822 0.518 0.408
I 0.822 0.804 0.414
I 0.890 0.408 0.086
I 0.890 0.982 0.804
I 0.908 0.018 0.322
I 0.908 0.390 0.586
I 0.914 0.110 0.592
I 0.914 0.304 0.322
I 0.982 0.678 0.092
I 0.982 0.804 0.890